The following is a PBE calculation of a relaxed structure of KPd3O, from Alexandria.

a b c (Å): 5.1326 5.1326 5.1326
angles (deg): 90.00 90.00 90.00
Space group Pm-3m (No. 221)
Symmetry-distinct sites (fractional):
1 K 0.0000 0.0000 0.0000 (multiplicity 1)
2 Pd 0.0000 0.0000 0.5000 (multiplicity 3)
3 O 0.5000 0.5000 0.5000 (multiplicity 1)

DOS(E_F): 9.57 states/eV per cell
ΔE to the lowest computed polymorph: 1.808 eV per atom
Uncorrected formation energy: 1.876 eV per atom
Total magnetization: 1.65 μB/f.u.